Pm2PrDyY: optimized geometry, PBE.

Cell: 7.2395 7.2395 7.2865 Å, 90.00 90.00 108.26°
Element x y z (fractional)
Pm 0.1906 0.1906 0.0000
Pm 0.1906 0.1906 0.5000
Pm 0.8094 0.8094 0.0000
Pm 0.8094 0.8094 0.5000
Pr 0.2247 0.7753 0.7500
Pr 0.7753 0.2247 0.2500
Dy 0.2315 0.7685 0.2500
Dy 0.7685 0.2315 0.7500
Y 0.4916 0.5084 0.7500
Y 0.5084 0.4916 0.2500

Properties
Its space group is Cmcm, No. 63. The value obtained for the formation energy is 2.0 eV per formula unit.

***

SmPa2O7: optimized geometry, PBE.

Cell: 10.8045 10.8045 10.8045 Å, 20.81 20.81 20.81°
Element x y z (fractional)
Sm 0.0000 0.0000 0.0000
Pa 0.4316 0.4316 0.4316
Pa 0.5684 0.5684 0.5684
O 0.0773 0.0773 0.0773
O 0.2185 0.2185 0.2185
O 0.3624 0.3624 0.3624
O 0.5000 0.5000 0.5000
O 0.6377 0.6377 0.6377
O 0.7815 0.7815 0.7815
O 0.9227 0.9227 0.9227

Properties
Its space group is R-3m, No. 166. The uncorrected formation energy is -3.35 eV/atom.

***

HfVSe2: optimized geometry, PBE.

Cell: 8.6899 8.6899 8.6899 Å, 24.00 24.00 24.00°
Element x y z (fractional)
Hf 0.0000 0.0000 0.0000
V 0.5000 0.5000 0.5000
Se 0.3994 0.3994 0.3994
Se 0.6006 0.6006 0.6006

Properties
The calculation puts the energy above the most stable polymorph in this dataset at 0.43 eV per formula unit. Its space group is R-3m, No. 166. The uncorrected formation energy is -0.43 eV/atom.

***

Mg2FeAg: optimized geometry, PBE.

Cell: 2.9347 4.0896 5.7925 Å, 90.00 90.00 90.00°
Element x y z (fractional)
Mg 0.0000 0.0000 0.0000
Mg 0.5000 0.5000 0.2938
Fe 0.5000 0.5000 0.7799
Ag 0.0000 0.0000 0.5308

Properties
Its space group is Pmm2, No. 25. The value obtained for the formation energy is 0.7 eV per formula unit.

***

What are the M_tot values for these records? In order: 0.0, 1.1, 3.9, 2.6 Bohr magnetons per cell.